Here is an optimized crystal structure of InCoRu from the Alexandria database. Energies are from PBE.

The structure belongs to space group I4mm (No. 107); the cell edges are 2.859, 2.859 and 10.955 Å and the angles 90.00°, 90.00° and 90.00°. The inequivalent atoms are In at (0.000, 0.000, 0.000), Co at (0.000, 0.000, 0.323) and Ru at (0.000, 0.000, 0.691).

The relative energy among the computed polymorphs is 0.05 eV/f.u. For the total energy, the calculation gives -37.076 eV/cell. The energy of formation from the pure elements is 0.1940 eV/atom. The density of states at the Fermi level is 0.9124 states/eV per atom.